Entry from the Alexandria database: an optimized crystal structure of CoSb2TeSe (PBE).

Computed properties:
Space group: P4/mmm (123)
Uncorrected formation energy, eV per atom: 0.342
Total DFT energy (no corrections), eV/atom: -4.05
Energy above the most stable polymorph in this dataset, meV/atom: 0

a = 4.8575 Å, b = 4.8575 Å, c = 5.2181 Å
α = 90.00°, β = 90.00°, γ = 90.00°
Last column: nearest neighbours and their distance in Å.
Positions (direct):
Sb (0.0000, 0.5000, 0.0000)  2 Co 2.43
Sb (0.5000, 0.0000, 0.0000)  2 Co 2.43
Te (0.0000, 0.0000, 0.5000)  2 Co 2.61
Co (0.0000, 0.0000, 0.0000)  4 Sb 2.43, 2 Te 2.61
Se (0.5000, 0.5000, 0.5000)  4 Te 3.43, 8 Sb 3.56


Entry from the Alexandria database: an optimized crystal structure of MgPb2Au (PBE).

Computed properties:
Space group: I4/mmm (139)
Total DFT energy (no corrections), eV/atom: -3.12
Formation energy, eV/atom: -0.045

a = 5.6581 Å, b = 5.6581 Å, c = 5.6581 Å
α = 131.25°, β = 131.25°, γ = 71.41°
Last column: nearest neighbours and their distance in Å.
Positions (direct):
Au (0.2500, 0.7500, 0.5000)  8 Pb 3.28, 4 Mg 3.30
Mg (0.7500, 0.2500, 0.5000)  8 Pb 3.28, 4 Au 3.30
Pb (0.0000, 0.0000, 0.0000)  4 Au 3.28, 4 Mg 3.28, 4 Pb 3.30
Pb (0.5000, 0.5000, 0.0000)  4 Mg 3.28, 4 Au 3.28, 4 Pb 3.30


Entry from the Alexandria database: an optimized crystal structure of NaTcNi (PBE).

Computed properties:
Space group: P-6m2 (187)
Total DFT energy (no corrections), eV/atom: -5.07
Energy above the most stable polymorph in this dataset, meV/atom: 512
Formation energy, eV/atom: 0.753

a = 4.3713 Å, b = 4.3713 Å, c = 6.5557 Å
α = 90.00°, β = 90.00°, γ = 120.00°
Last column: nearest neighbours and their distance in Å.
Positions (direct):
Ni (0.0000, 0.0000, 0.1832)  1 Ni 2.40, 3 Tc 2.53
Ni (0.0000, 0.0000, 0.8168)  1 Ni 2.40, 3 Tc 2.53
Tc (0.3333, 0.6667, 0.1698)  1 Tc 2.23
Tc (0.3333, 0.6667, 0.8302)  1 Tc 2.23
Na (0.6667, 0.3333, 0.0000)  6 Tc 2.76, 6 Ni 2.80
Na (0.6667, 0.3333, 0.5000)  6 Ni 3.27, 2 Na 3.28, 6 Tc 3.32-3.33


Entry from the Alexandria database: an optimized crystal structure of SmMg2Sc3 (PBE).

Computed properties:
Space group: P4/mmm (123)
Total DFT energy (no corrections), eV/atom: -4.49
Formation energy, eV/atom: -0.005

a = 3.4738 Å, b = 3.4738 Å, c = 12.5205 Å
α = 90.00°, β = 90.00°, γ = 90.00°
Last column: nearest neighbours and their distance in Å.
Positions (direct):
Sm (0.5000, 0.5000, 0.5000)  8 Sc 3.43, 4 Sm 3.47
Mg (0.5000, 0.5000, 0.8475)  8 Sc 3.11-3.14, 4 Mg 3.47
Mg (0.5000, 0.5000, 0.1525)  8 Sc 3.11-3.14, 4 Mg 3.47
Sc (0.0000, 0.0000, 0.0000)  8 Mg 3.11, 4 Sc 3.47
Sc (0.0000, 0.0000, 0.6916)  4 Mg 3.14, 4 Sm 3.43, 4 Sc 3.47
Sc (0.0000, 0.0000, 0.3084)  4 Mg 3.14, 4 Sm 3.43, 4 Sc 3.47